[1]
Below is a relaxed structure of PrNd2Ge, with properties calculated at the PBE level.

a = 4.099 Å, b = 4.099 Å, c = 28.137 Å
α = 90.00°, β = 90.00°, γ = 120.00°
Sites, in units of the cell vectors:
Pr (0.000, 0.000, 0.000)
Pr (0.333, 0.667, 0.667)
Pr (0.667, 0.333, 0.333)
Nd (0.000, 0.000, 0.560)
Nd (0.000, 0.000, 0.770)
Nd (0.333, 0.667, 0.227)
Nd (0.333, 0.667, 0.437)
Nd (0.667, 0.333, 0.104)
Nd (0.667, 0.333, 0.893)
Ge (0.000, 0.000, 0.165)
Ge (0.333, 0.667, 0.831)
Ge (0.667, 0.333, 0.498)

Results
Energy relative to the lowest polymorph listed for this composition ... 199.9 meV/atom
Formation energy ... -241 meV/atom
Total DFT energy (no corrections) ... -59.7 eV per cell

---

[2]
Below is a relaxed structure of PrNd2Ge, with properties calculated at the PBE level.

a = 4.836 Å, b = 4.836 Å, c = 4.821 Å
α = 90.00°, β = 90.00°, γ = 90.00°
Sites, in units of the cell vectors:
Pr (0.000, 0.000, 0.000)
Nd (0.000, 0.500, 0.500)
Nd (0.500, 0.000, 0.500)
Ge (0.500, 0.500, 0.000)

Results
Energy relative to the lowest polymorph listed for this composition ... 100.2 meV/atom
Formation energy ... -341 meV/atom
Total DFT energy (no corrections) ... -20.3 eV per cell

---

[3]
Below is a relaxed structure of PrNdGe, with properties calculated at the PBE level.

a = 6.731 Å, b = 8.268 Å, c = 6.471 Å
α = 90.00°, β = 90.00°, γ = 90.00°
Sites, in units of the cell vectors:
Pr (0.101, 0.250, 0.000)
Pr (0.101, 0.250, 0.500)
Pr (0.899, 0.750, 0.000)
Pr (0.899, 0.750, 0.500)
Nd (0.381, 0.600, 0.250)
Nd (0.381, 0.900, 0.750)
Nd (0.619, 0.100, 0.250)
Nd (0.619, 0.400, 0.750)
Ge (0.215, 0.560, 0.750)
Ge (0.215, 0.940, 0.250)
Ge (0.785, 0.060, 0.750)
Ge (0.785, 0.440, 0.250)

Results
Energy relative to the lowest polymorph listed for this composition ... 36.9 meV/atom
Formation energy ... -567 meV/atom
Total DFT energy (no corrections) ... -63.5 eV per cell

---

[4]
Below is a relaxed structure of Pr2NdGe, with properties calculated at the PBE level.

a = 4.030 Å, b = 4.030 Å, c = 7.345 Å
α = 90.00°, β = 90.00°, γ = 90.00°
Sites, in units of the cell vectors:
Pr (0.000, 0.000, 0.205)
Pr (0.000, 0.000, 0.795)
Nd (0.500, 0.500, 0.500)
Ge (0.500, 0.500, 0.000)

Results
Energy relative to the lowest polymorph listed for this composition ... 124.6 meV/atom
Formation energy ... -301 meV/atom
Total DFT energy (no corrections) ... -20.2 eV per cell

---

[5]
Below is a relaxed structure of PrNdGe, with properties calculated at the PBE level.

a = 7.199 Å, b = 7.199 Å, c = 7.199 Å
α = 90.00°, β = 90.00°, γ = 90.00°
Sites, in units of the cell vectors:
Pr (0.000, 0.000, 0.000)
Pr (0.000, 0.500, 0.500)
Pr (0.500, 0.000, 0.500)
Pr (0.500, 0.500, 0.000)
Nd (0.000, 0.000, 0.500)
Nd (0.000, 0.500, 0.000)
Nd (0.500, 0.000, 0.000)
Nd (0.500, 0.500, 0.500)
Ge (0.250, 0.250, 0.750)
Ge (0.250, 0.750, 0.250)
Ge (0.750, 0.250, 0.250)
Ge (0.750, 0.750, 0.750)

Results
Energy relative to the lowest polymorph listed for this composition ... 74.9 meV/atom
Formation energy ... -529 meV/atom
Total DFT energy (no corrections) ... -63.0 eV per cell

---

[6]
Below is a relaxed structure of Pr2NdGe, with properties calculated at the PBE level.

a = 4.209 Å, b = 12.479 Å, c = 9.544 Å
α = 90.00°, β = 90.00°, γ = 90.00°
Sites, in units of the cell vectors:
Pr (0.000, 0.144, 0.056)
Pr (0.000, 0.144, 0.444)
Pr (0.000, 0.856, 0.556)
Pr (0.000, 0.856, 0.944)
Pr (0.500, 0.356, 0.556)
Pr (0.500, 0.356, 0.944)
Pr (0.500, 0.644, 0.056)
Pr (0.500, 0.644, 0.444)
Nd (0.000, 0.431, 0.250)
Nd (0.000, 0.569, 0.750)
Nd (0.500, 0.069, 0.750)
Nd (0.500, 0.931, 0.250)
Ge (0.000, 0.246, 0.750)
Ge (0.000, 0.754, 0.250)
Ge (0.500, 0.254, 0.250)
Ge (0.500, 0.746, 0.750)

Results
Energy relative to the lowest polymorph listed for this composition ... 0.0 meV/atom
Formation energy ... -426 meV/atom
Total DFT energy (no corrections) ... -82.6 eV per cell

---

[7]
Below is a relaxed structure of PrNd2Ge6, with properties calculated at the PBE level.

a = 7.699 Å, b = 7.699 Å, c = 4.090 Å
α = 90.00°, β = 90.00°, γ = 120.00°
Sites, in units of the cell vectors:
Pr (0.000, 0.000, 0.000)
Nd (0.333, 0.667, 0.000)
Nd (0.667, 0.333, 0.000)
Ge (0.000, 0.334, 0.500)
Ge (0.000, 0.666, 0.500)
Ge (0.334, 0.000, 0.500)
Ge (0.334, 0.334, 0.500)
Ge (0.666, 0.000, 0.500)
Ge (0.666, 0.666, 0.500)

Results
Formation energy ... -587 meV/atom
Total DFT energy (no corrections) ... -47.3 eV per cell

---

[8]
Below is a relaxed structure of Pr2NdGe, with properties calculated at the PBE level.

a = 4.002 Å, b = 4.002 Å, c = 31.872 Å
α = 90.00°, β = 90.00°, γ = 120.00°
Sites, in units of the cell vectors:
Pr (0.000, 0.000, 0.111)
Pr (0.000, 0.000, 0.889)
Pr (0.333, 0.667, 0.556)
Pr (0.333, 0.667, 0.778)
Pr (0.667, 0.333, 0.222)
Pr (0.667, 0.333, 0.444)
Nd (0.000, 0.000, 0.000)
Nd (0.333, 0.667, 0.667)
Nd (0.667, 0.333, 0.333)
Ge (0.000, 0.000, 0.500)
Ge (0.333, 0.667, 0.167)
Ge (0.667, 0.333, 0.833)

Results
Energy relative to the lowest polymorph listed for this composition ... 388.2 meV/atom
Formation energy ... -38 meV/atom
Total DFT energy (no corrections) ... -57.3 eV per cell

---

[9]
Below is a relaxed structure of PrNdGe, with properties calculated at the PBE level.

a = 4.817 Å, b = 4.817 Å, c = 4.369 Å
α = 90.00°, β = 90.00°, γ = 120.00°
Sites, in units of the cell vectors:
Pr (0.000, 0.000, 0.000)
Nd (0.333, 0.667, 0.455)
Ge (0.667, 0.333, 0.676)

Results
Energy relative to the lowest polymorph listed for this composition ... 218.0 meV/atom
Formation energy ... -386 meV/atom
Total DFT energy (no corrections) ... -15.3 eV per cell

---

[10]
Below is a relaxed structure of PrNd2Ge, with properties calculated at the PBE level.

a = 3.978 Å, b = 3.978 Å, c = 31.973 Å
α = 90.00°, β = 90.00°, γ = 120.00°
Sites, in units of the cell vectors:
Pr (0.000, 0.000, 0.000)
Pr (0.333, 0.667, 0.667)
Pr (0.667, 0.333, 0.333)
Nd (0.000, 0.000, 0.112)
Nd (0.000, 0.000, 0.888)
Nd (0.333, 0.667, 0.555)
Nd (0.333, 0.667, 0.778)
Nd (0.667, 0.333, 0.222)
Nd (0.667, 0.333, 0.445)
Ge (0.000, 0.000, 0.500)
Ge (0.333, 0.667, 0.167)
Ge (0.667, 0.333, 0.833)

Results
Energy relative to the lowest polymorph listed for this composition ... 384.3 meV/atom
Formation energy ... -57 meV/atom
Total DFT energy (no corrections) ... -57.5 eV per cell

---

[11]
Below is a relaxed structure of PrNdGe, with properties calculated at the PBE level.

a = 8.242 Å, b = 8.242 Å, c = 4.349 Å
α = 90.00°, β = 90.00°, γ = 120.00°
Sites, in units of the cell vectors:
Pr (0.000, 0.590, 0.000)
Pr (0.410, 0.410, 0.000)
Pr (0.590, 0.000, 0.000)
Nd (0.000, 0.265, 0.500)
Nd (0.265, 0.000, 0.500)
Nd (0.735, 0.735, 0.500)
Ge (0.000, 0.000, 0.000)
Ge (0.333, 0.667, 0.500)
Ge (0.667, 0.333, 0.500)

Results
Energy relative to the lowest polymorph listed for this composition ... 0.0 meV/atom
Formation energy ... -604 meV/atom
Total DFT energy (no corrections) ... -47.9 eV per cell

---

[12]
Below is a relaxed structure of Pr3Nd2Ge2, with properties calculated at the PBE level.

a = 12.213 Å, b = 4.320 Å, c = 8.657 Å
α = 90.00°, β = 110.66°, γ = 90.00°
Sites, in units of the cell vectors:
Pr (0.000, 0.000, 0.000)
Pr (0.130, 0.000, 0.443)
Pr (0.370, 0.500, 0.557)
Pr (0.500, 0.500, 0.000)
Pr (0.630, 0.500, 0.443)
Pr (0.870, 0.000, 0.557)
Nd (0.151, 0.500, 0.808)
Nd (0.349, 0.000, 0.192)
Nd (0.651, 0.000, 0.808)
Nd (0.849, 0.500, 0.192)
Ge (0.174, 0.500, 0.201)
Ge (0.326, 0.000, 0.799)
Ge (0.674, 0.000, 0.201)
Ge (0.826, 0.500, 0.799)

Results
Formation energy ... -501 meV/atom
Total DFT energy (no corrections) ... -73.2 eV per cell

---

[13]
Below is a relaxed structure of PrNd2Ge, with properties calculated at the PBE level.

a = 7.977 Å, b = 9.505 Å, c = 6.507 Å
α = 90.00°, β = 90.00°, γ = 90.00°
Sites, in units of the cell vectors:
Pr (0.030, 0.250, 0.132)
Pr (0.470, 0.750, 0.632)
Pr (0.530, 0.250, 0.368)
Pr (0.970, 0.750, 0.868)
Nd (0.188, 0.053, 0.628)
Nd (0.188, 0.447, 0.628)
Nd (0.312, 0.553, 0.128)
Nd (0.312, 0.947, 0.128)
Nd (0.688, 0.053, 0.872)
Nd (0.688, 0.447, 0.872)
Nd (0.812, 0.553, 0.372)
Nd (0.812, 0.947, 0.372)
Ge (0.118, 0.750, 0.421)
Ge (0.382, 0.250, 0.921)
Ge (0.618, 0.750, 0.079)
Ge (0.882, 0.250, 0.579)

Results
Energy relative to the lowest polymorph listed for this composition ... 0.0 meV/atom
Formation energy ... -441 meV/atom
Total DFT energy (no corrections) ... -82.8 eV per cell

---

[14]
Below is a relaxed structure of Pr2NdGe, with properties calculated at the PBE level.

a = 4.119 Å, b = 4.119 Å, c = 28.108 Å
α = 90.00°, β = 90.00°, γ = 120.00°
Sites, in units of the cell vectors:
Pr (0.000, 0.000, 0.000)
Pr (0.000, 0.000, 0.208)
Pr (0.333, 0.667, 0.667)
Pr (0.333, 0.667, 0.875)
Pr (0.667, 0.333, 0.333)
Pr (0.667, 0.333, 0.542)
Nd (0.000, 0.000, 0.439)
Nd (0.333, 0.667, 0.105)
Nd (0.667, 0.333, 0.772)
Ge (0.000, 0.000, 0.604)
Ge (0.333, 0.667, 0.270)
Ge (0.667, 0.333, 0.937)

Results
Energy relative to the lowest polymorph listed for this composition ... 202.1 meV/atom
Formation energy ... -224 meV/atom
Total DFT energy (no corrections) ... -59.5 eV per cell

---

[15]
Below is a relaxed structure of PrNd3Ge2, with properties calculated at the PBE level.

a = 9.184 Å, b = 9.184 Å, c = 9.568 Å
α = 114.25°, β = 114.25°, γ = 28.34°
Sites, in units of the cell vectors:
Pr (0.116, 0.116, 0.130)
Pr (0.884, 0.884, 0.870)
Nd (0.048, 0.048, 0.696)
Nd (0.310, 0.310, 0.115)
Nd (0.348, 0.348, 0.525)
Nd (0.652, 0.652, 0.475)
Nd (0.690, 0.690, 0.885)
Nd (0.952, 0.952, 0.304)
Ge (0.238, 0.238, 0.714)
Ge (0.493, 0.493, 0.133)
Ge (0.507, 0.507, 0.867)
Ge (0.762, 0.762, 0.286)

Results
Energy relative to the lowest polymorph listed for this composition ... 0.0 meV/atom
Formation energy ... -562 meV/atom
Total DFT energy (no corrections) ... -63.4 eV per cell

---

[16]
Below is a relaxed structure of Pr3Nd2Ge4, with properties calculated at the PBE level.

a = 8.018 Å, b = 8.131 Å, c = 7.884 Å
α = 90.00°, β = 106.30°, γ = 90.00°
Sites, in units of the cell vectors:
Pr (0.000, 0.000, 0.000)
Pr (0.000, 0.500, 0.500)
Pr (0.258, 0.178, 0.743)
Pr (0.258, 0.322, 0.243)
Pr (0.742, 0.678, 0.757)
Pr (0.742, 0.822, 0.257)
Nd (0.297, 0.685, 0.909)
Nd (0.297, 0.815, 0.409)
Nd (0.703, 0.185, 0.591)
Nd (0.703, 0.315, 0.091)
Ge (0.013, 0.628, 0.127)
Ge (0.013, 0.872, 0.627)
Ge (0.417, 0.029, 0.125)
Ge (0.417, 0.471, 0.625)
Ge (0.583, 0.529, 0.375)
Ge (0.583, 0.971, 0.875)
Ge (0.987, 0.128, 0.373)
Ge (0.987, 0.372, 0.873)

Results
Formation energy ... -782 meV/atom
Total DFT energy (no corrections) ... -98.8 eV per cell

---

[17]
Below is a relaxed structure of Pr3Nd3Ge4, with properties calculated at the PBE level.

a = 4.385 Å, b = 7.918 Å, c = 7.918 Å
α = 90.13°, β = 90.00°, γ = 90.00°
Sites, in units of the cell vectors:
Pr (0.000, 0.000, 0.000)
Pr (0.000, 0.152, 0.501)
Pr (0.000, 0.501, 0.152)
Nd (0.000, 0.652, 0.652)
Nd (0.500, 0.326, 0.826)
Nd (0.500, 0.826, 0.326)
Ge (0.500, 0.208, 0.208)
Ge (0.500, 0.447, 0.447)
Ge (0.500, 0.706, 0.944)
Ge (0.500, 0.944, 0.706)

Results
Formation energy ... -730 meV/atom
Total DFT energy (no corrections) ... -54.4 eV per cell

---

[18]
Below is a relaxed structure of PrNd2Ge, with properties calculated at the PBE level.

a = 3.983 Å, b = 3.983 Å, c = 7.445 Å
α = 90.00°, β = 90.00°, γ = 90.00°
Sites, in units of the cell vectors:
Pr (0.000, 0.000, 0.000)
Nd (0.500, 0.500, 0.299)
Nd (0.500, 0.500, 0.701)
Ge (0.000, 0.000, 0.500)

Results
Energy relative to the lowest polymorph listed for this composition ... 128.0 meV/atom
Formation energy ... -313 meV/atom
Total DFT energy (no corrections) ... -20.2 eV per cell

---

[19]
Below is a relaxed structure of Pr2NdGe2, with properties calculated at the PBE level.

a = 7.925 Å, b = 7.925 Å, c = 4.396 Å
α = 90.00°, β = 90.00°, γ = 90.00°
Sites, in units of the cell vectors:
Pr (0.174, 0.326, 0.000)
Pr (0.326, 0.826, 0.000)
Pr (0.674, 0.174, 0.000)
Pr (0.826, 0.674, 0.000)
Nd (0.000, 0.000, 0.500)
Nd (0.500, 0.500, 0.500)
Ge (0.119, 0.619, 0.500)
Ge (0.381, 0.119, 0.500)
Ge (0.619, 0.881, 0.500)
Ge (0.881, 0.381, 0.500)

Results
Energy relative to the lowest polymorph listed for this composition ... 0.0 meV/atom
Formation energy ... -729 meV/atom
Total DFT energy (no corrections) ... -54.4 eV per cell

---

[20]
Below is a relaxed structure of Pr2NdGe2, with properties calculated at the PBE level.

a = 6.730 Å, b = 6.730 Å, c = 10.944 Å
α = 114.79°, β = 114.79°, γ = 39.28°
Sites, in units of the cell vectors:
Pr (0.015, 0.015, 0.186)
Pr (0.180, 0.180, 0.588)
Pr (0.820, 0.820, 0.412)
Pr (0.985, 0.985, 0.814)
Nd (0.282, 0.282, 0.143)
Nd (0.718, 0.718, 0.857)
Ge (0.386, 0.386, 0.939)
Ge (0.472, 0.472, 0.603)
Ge (0.528, 0.528, 0.397)
Ge (0.614, 0.614, 0.061)

Results
Energy relative to the lowest polymorph listed for this composition ... 74.0 meV/atom
Formation energy ... -655 meV/atom
Total DFT energy (no corrections) ... -53.7 eV per cell